The following is a PBE-GGA calculation of a geometry-optimized PrThPb2 structure, from Alexandria via LeMat-Bulk.

a b c (Å): 4.6543 6.4450 6.4450
angles (deg): 41.66 90.00 90.00
Last column: nearest neighbours and their distance in Å.
Element x y z (fractional)
Pr 0.0000 0.0000 0.0000  7 Pb 3.24-3.61
Th 0.5000 0.7366 0.7366  7 Pb 3.25-3.60
Pb 0.0000 0.2686 0.2686  3 Pr 3.24-3.61, 4 Th 3.29, 2 Pb 3.33
Pb 0.5000 0.4666 0.4666  3 Th 3.25-3.60, 4 Pr 3.29, 2 Pb 3.33

formation energy from the elements: -0.42 eV per atom
DFT total energy: -5.323 eV per atom
space-group type: Amm2, No. 38

The following is a PBE-GGA calculation of a geometry-optimized HgIr2RhBr structure, from Alexandria via LeMat-Bulk.

a b c (Å): 5.0553 5.0553 5.0897
angles (deg): 90.00 90.00 90.00
Last column: nearest neighbours and their distance in Å.
Element x y z (fractional)
Hg 0.0000 0.0000 0.0000  4 Ir 2.53, 2 Rh 2.54
Ir 0.0000 0.5000 0.0000  2 Hg 2.53
Ir 0.5000 0.0000 0.0000  2 Hg 2.53
Rh 0.0000 0.0000 0.5000  2 Hg 2.54
Br 0.5000 0.5000 0.5000  4 Rh 3.57, 8 Ir 3.59

DFT total energy: -3.189 eV per atom
space-group type: P4/mmm, No. 123
formation energy (no corrections): 1071 kJ/mol of formula units

The following is a PBE-GGA calculation of a geometry-optimized YReRh2 structure, from Alexandria via LeMat-Bulk.

a b c (Å): 2.9277 4.5999 5.1101
angles (deg): 90.00 99.41 90.00
Last column: nearest neighbours and their distance in Å.
Element x y z (fractional)
Y 0.0000 0.0000 0.0000  7 Rh 2.66-2.93, 2 Y 2.93
Re 0.7794 0.5000 0.3925  7 Rh 2.67-2.92, 2 Re 2.93
Rh 0.3936 0.0000 0.5086  3 Y 2.66-2.93, 4 Re 2.67-2.92, 4 Rh 2.90-2.93
Rh 0.4517 0.5000 0.8589  3 Re 2.71-2.83, 4 Y 2.81-2.83, 4 Rh 2.90-2.93

formation energy from the elements: -0.14 eV per atom
DFT total energy: -8.545 eV per atom
space-group type: Pm, No. 6
energy above the most stable polymorph in this dataset: 0.030 eV per atom

The following is a PBE-GGA calculation of a geometry-optimized LiLaCr2 structure, from Alexandria via LeMat-Bulk.

a b c (Å): 5.8786 5.8786 5.8786
angles (deg): 99.80 99.80 131.27
Last column: nearest neighbours and their distance in Å.
Element x y z (fractional)
Li 0.0000 0.0000 0.0000  2 La 2.43, 4 Cr 2.53
Li 0.7500 0.2500 0.5000  2 La 2.43, 4 Cr 2.53
La 0.2500 0.7500 0.5000  2 Li 2.43
La 0.5000 0.5000 0.0000  2 Li 2.43
Cr 0.0823 0.6250 0.9573  2 Cr 2.51, 2 Li 2.53
Cr 0.3750 0.3323 0.4573  2 Cr 2.51, 2 Li 2.53
Cr 0.6677 0.1250 0.0427  2 Cr 2.51, 2 Li 2.53
Cr 0.8750 0.9177 0.5427  2 Cr 2.51, 2 Li 2.53

formation energy from the elements: 1.16 eV per atom
DFT total energy: -5.359 eV per atom
space-group type: I-42d, No. 122
energy above the most stable polymorph in this dataset: 0.777 eV per atom

The following is a PBE-GGA calculation of a geometry-optimized AgHg2TeH structure, from Alexandria via LeMat-Bulk.

a b c (Å): 6.4696 6.4696 5.2450
angles (deg): 90.00 90.00 90.00
Last column: nearest neighbours and their distance in Å.
Element x y z (fractional)
Ag 0.0000 0.0000 0.0000  2 Te 2.62
Hg 0.0000 0.5000 0.5000  2 Te 3.23
Hg 0.5000 0.0000 0.5000  2 Te 3.23
Te 0.0000 0.0000 0.5000  2 Ag 2.62
H 0.5000 0.5000 0.0000  8 Hg 4.16, 4 Ag 4.57

DFT total energy: -1.338 eV per atom
space-group type: P4/mmm, No. 123
energy above the most stable polymorph in this dataset: 0.425 eV per atom

The following is a PBE-GGA calculation of a geometry-optimized Pm2PrAg structure, from Alexandria via LeMat-Bulk.

a b c (Å): 5.4822 5.4822 5.4822
angles (deg): 60.00 60.00 60.00
Last column: nearest neighbours and their distance in Å.
Element x y z (fractional)
Pm 0.2500 0.2500 0.2500  4 Pr 3.36, 4 Ag 3.36
Pm 0.7500 0.7500 0.7500  4 Pr 3.36, 4 Ag 3.36
Pr 0.0000 0.0000 0.0000  8 Pm 3.36
Ag 0.5000 0.5000 0.5000  8 Pm 3.36

formation energy from the elements: 0.09 eV per atom
DFT total energy: -4.192 eV per atom
space-group type: Fm-3m, No. 225
energy above the most stable polymorph in this dataset: 0.204 eV per atom

The following is a PBE-GGA calculation of a geometry-optimized Ce2ThP3Rh12 structure, from Alexandria via LeMat-Bulk.

a b c (Å): 6.8015 6.8015 6.8015
angles (deg): 80.47 80.47 80.47
Last column: nearest neighbours and their distance in Å.
Element x y z (fractional)
Ce 0.1122 0.1122 0.1122  3 Rh 2.42
Ce 0.8878 0.8878 0.8878  3 Rh 2.42
Th 0.5000 0.5000 0.5000  6 Rh 2.75
P 0.0000 0.5000 0.5000  6 Rh 2.32-2.45
P 0.5000 0.0000 0.5000  6 Rh 2.32-2.45
P 0.5000 0.5000 0.0000  6 Rh 2.32-2.45
Rh 0.1414 0.6838 0.6838  1 P 2.32, 1 Ce 2.42
Rh 0.1509 0.1509 0.5886  2 P 2.45
Rh 0.1509 0.5886 0.1509  2 P 2.45
Rh 0.3162 0.3162 0.8586  1 P 2.32, 1 Ce 2.42
Rh 0.3162 0.8586 0.3162  1 P 2.32, 1 Ce 2.42
Rh 0.4114 0.8491 0.8491  2 P 2.45
Rh 0.5886 0.1509 0.1509  2 P 2.45
Rh 0.6838 0.1414 0.6838  1 P 2.32, 1 Ce 2.42
Rh 0.6838 0.6838 0.1414  1 P 2.32, 1 Ce 2.42
Rh 0.8491 0.4114 0.8491  2 P 2.45
Rh 0.8491 0.8491 0.4114  2 P 2.45
Rh 0.8586 0.3162 0.3162  1 P 2.32, 1 Ce 2.42

formation energy from the elements: -0.52 eV per atom
DFT total energy: -7.392 eV per atom
space-group type: R-3m, No. 166

The following is a PBE-GGA calculation of a geometry-optimized ScInW structure, from Alexandria via LeMat-Bulk.

a b c (Å): 5.4121 5.4121 5.4121
angles (deg): 146.66 137.49 55.07
Last column: nearest neighbours and their distance in Å.
Element x y z (fractional)
Sc 0.0000 0.0000 0.0000  4 W 2.93, 5 In 3.04-3.07, 2 Sc 3.11
In 0.3197 0.3197 0.0000  5 W 2.94-3.25, 5 Sc 3.04-3.07, 2 In 3.11
W 0.6584 0.6584 0.0000  4 Sc 2.93, 5 In 2.94-3.25, 2 W 3.11

formation energy from the elements: 0.22 eV per atom
DFT total energy: -7.119 eV per atom
space-group type: Imm2, No. 44
energy above the most stable polymorph in this dataset: 0.034 eV per atom

The following is a PBE-GGA calculation of a geometry-optimized Ca2CuAu7 structure, from Alexandria via LeMat-Bulk.

a b c (Å): 3.9976 3.9976 13.3402
angles (deg): 90.00 90.00 90.00
Last column: nearest neighbours and their distance in Å.
Element x y z (fractional)
Ca 0.0000 0.5000 0.2450  8 Au 3.13
Ca 0.5000 0.0000 0.7550  8 Au 3.13
Cu 0.5000 0.5000 0.0000  8 Au 2.77-2.83
Au 0.0000 0.0000 0.0000  4 Au 2.77, 4 Cu 2.83
Au 0.0000 0.0000 0.5000  8 Au 2.83-2.87
Au 0.0000 0.5000 0.6544  5 Au 2.70-2.87
Au 0.0000 0.5000 0.8566  3 Au 2.70-2.77, 2 Cu 2.77
Au 0.5000 0.0000 0.1434  3 Au 2.70-2.77, 2 Cu 2.77
Au 0.5000 0.0000 0.3456  5 Au 2.70-2.87
Au 0.5000 0.5000 0.5000  8 Au 2.83-2.87

formation energy from the elements: -0.39 eV per atom
DFT total energy: -3.498 eV per atom
space-group type: P-4m2, No. 115

The following is a PBE-GGA calculation of a geometry-optimized Pa4Ag3O12 structure, from Alexandria via LeMat-Bulk.

a b c (Å): 7.2887 7.2887 7.2887
angles (deg): 109.47 109.47 109.47
Last column: nearest neighbours and their distance in Å.
Element x y z (fractional)
Pa 0.0000 0.0000 0.5000  6 O 2.20
Pa 0.0000 0.5000 0.0000  6 O 2.20
Pa 0.5000 0.0000 0.0000  6 O 2.20
Pa 0.5000 0.5000 0.5000  6 O 2.20
Ag 0.0000 0.5000 0.5000  4 O 2.35
Ag 0.5000 0.0000 0.5000  4 O 2.35
Ag 0.5000 0.5000 0.0000  4 O 2.35
O 0.1055 0.3005 0.8050  2 Pa 2.20, 1 Ag 2.35
O 0.1950 0.4954 0.3005  2 Pa 2.20, 1 Ag 2.35
O 0.1950 0.8945 0.6995  2 Pa 2.20, 1 Ag 2.35
O 0.3005 0.1950 0.4954  2 Pa 2.20, 1 Ag 2.35
O 0.3005 0.8050 0.1055  2 Pa 2.20, 1 Ag 2.35
O 0.4954 0.3005 0.1950  2 Pa 2.20, 1 Ag 2.35
O 0.5046 0.6995 0.8050  2 Pa 2.20, 1 Ag 2.35
O 0.6995 0.1950 0.8945  2 Pa 2.20, 1 Ag 2.35
O 0.6995 0.8050 0.5046  2 Pa 2.20, 1 Ag 2.35
O 0.8050 0.1055 0.3005  2 Pa 2.20, 1 Ag 2.35
O 0.8050 0.5046 0.6995  2 Pa 2.20, 1 Ag 2.35
O 0.8945 0.6995 0.1950  2 Pa 2.20, 1 Ag 2.35

DFT total energy: -8.219 eV per atom
space-group type: Im-3, No. 204
formation energy (no corrections): -4837 kJ/mol of formula units

The following is a PBE-GGA calculation of a geometry-optimized KLiPu2Cl8 structure, from Alexandria via LeMat-Bulk.

a b c (Å): 6.5846 8.5041 6.7260
angles (deg): 90.00 96.01 90.00
Last column: nearest neighbours and their distance in Å.
Element x y z (fractional)
K 0.0000 0.0000 0.0000  6 Cl 3.02-3.25
Li 0.0000 0.5000 0.0000  4 Cl 2.57
Pu 0.5000 0.2582 0.5000  6 Cl 2.68-2.79
Pu 0.5000 0.7418 0.5000  6 Cl 2.68-2.79
Cl 0.2244 0.2848 0.1798  1 Li 2.57, 1 Pu 2.68
Cl 0.2244 0.7152 0.1798  1 Li 2.57, 1 Pu 2.68
Cl 0.2933 0.5000 0.6594  2 Pu 2.75
Cl 0.3009 0.0000 0.6467  2 Pu 2.79
Cl 0.6991 0.0000 0.3533  2 Pu 2.79
Cl 0.7067 0.5000 0.3406  2 Pu 2.75
Cl 0.7756 0.2848 0.8202  1 Li 2.57, 1 Pu 2.68
Cl 0.7756 0.7152 0.8202  1 Li 2.57, 1 Pu 2.68

DFT total energy: -5.749 eV per atom
space-group type: P2/m, No. 10
formation energy (no corrections): -2175 kJ/mol of formula units

The following is a PBE-GGA calculation of a geometry-optimized BeCdFe2N structure, from Alexandria via LeMat-Bulk.

a b c (Å): 3.9794 3.9794 3.5354
angles (deg): 90.00 90.00 90.00
Last column: nearest neighbours and their distance in Å.
Element x y z (fractional)
Be 0.0000 0.0000 0.0000  2 N 1.77
Cd 0.5000 0.5000 0.0000  8 Fe 2.66, 4 Be 2.81
Fe 0.0000 0.5000 0.5000  2 N 1.99
Fe 0.5000 0.0000 0.5000  2 N 1.99
N 0.0000 0.0000 0.5000  2 Be 1.77

DFT total energy: -5.897 eV per atom
space-group type: P4/mmm, No. 123
formation energy (no corrections): 39 kJ/mol of formula units

Which formula does entry 5 have? AgHg2TeH

What did the first record say?
The following is a PBE-GGA calculation of a geometry-optimized PrThPb2 structure, from Alexandria via LeMat-Bulk.

a b c (Å): 4.6543 6.4450 6.4450
angles (deg): 41.66 90.00 90.00
Last column: nearest neighbours and their distance in Å.
Element x y z (fractional)
Pr 0.0000 0.0000 0.0000  7 Pb 3.24-3.61
Th 0.5000 0.7366 0.7366  7 Pb 3.25-3.60
Pb 0.0000 0.2686 0.2686  3 Pr 3.24-3.61, 4 Th 3.29, 2 Pb 3.33
Pb 0.5000 0.4666 0.4666  3 Th 3.25-3.60, 4 Pr 3.29, 2 Pb 3.33

formation energy from the elements: -0.42 eV per atom
DFT total energy: -5.323 eV per atom
space-group type: Amm2, No. 38